Entry 1:
HfGaPd | PBEsol | relaxed

calculated formation energy	-769	meV per atom
uncorrected energy	-22.11	eV per formula unit
mass density	11.805	g/cm³
size of the total moment	0.000	μB per formula unit

Unit cell a=6.8366 b=7.1102 c=7.1102 alpha=120.00 beta=90.00 gamma=90.00
Fractional coordinates of all 18 atoms:
1 Ga 0.5000 0.0000 0.7302
2 Hf 0.2500 0.6133 0.5909
3 Hf 0.7500 0.0224 0.4091
4 Ga 0.0000 0.7302 0.0000
5 Pd 0.0323 0.3333 0.6667
6 Pd 0.5323 0.6667 0.3333
7 Ga 0.0000 0.2698 0.2698
8 Pd 0.9677 0.6667 0.3333
9 Pd 0.7500 0.0000 0.0000
10 Hf 0.2500 0.9776 0.3867
11 Hf 0.7500 0.5909 0.6133
12 Hf 0.2500 0.4091 0.0224
13 Pd 0.4677 0.3333 0.6667
14 Hf 0.7500 0.3867 0.9776
15 Ga 0.0000 0.0000 0.7302
16 Ga 0.5000 0.2698 0.2698
17 Ga 0.5000 0.7302 0.0000
18 Pd 0.2500 0.0000 0.0000

***

Entry 2:
Hf2GaPd2 | PBEsol | relaxed

calculated formation energy	-167	meV per atom
uncorrected energy	-37.10	eV per formula unit
relative energy among the computed polymorphs	47.29	kJ per mole of atoms
mass density	10.368	g/cm³
size of the total moment	0.000	μB per formula unit

Unit cell a=4.4965 b=4.4965 c=5.9813 alpha=112.08 beta=112.08 gamma=90.00
Fractional coordinates of all 5 atoms:
1 Pd 0.6206 0.6206 0.2413
2 Pd 0.3794 0.3794 0.7587
3 Hf 0.7500 0.2500 0.5000
4 Hf 0.2500 0.7500 0.5000
5 Ga 0.0000 0.0000 0.0000

***

Entry 3:
HfGaPt | PBEsol | relaxed

calculated formation energy	-1003	meV per atom
uncorrected energy	-23.82	eV per formula unit
mass density	14.583	g/cm³
size of the total moment	0.000	μB per formula unit

Unit cell a=6.9570 b=7.0900 c=7.0900 alpha=120.00 beta=90.00 gamma=90.00
Fractional coordinates of all 18 atoms:
1 Pt 0.9668 0.6667 0.3333
2 Ga 0.5000 0.2688 0.0000
3 Hf 0.7500 0.3847 0.4089
4 Ga 0.5000 0.7312 0.7312
5 Hf 0.2500 0.9758 0.5911
6 Hf 0.7500 0.5911 0.9758
7 Ga 0.5000 0.0000 0.2688
8 Ga 0.0000 0.7312 0.7312
9 Hf 0.2500 0.4089 0.3847
10 Ga 0.0000 0.0000 0.2688
11 Pt 0.7500 0.0000 0.0000
12 Pt 0.4668 0.3333 0.6667
13 Ga 0.0000 0.2688 0.0000
14 Pt 0.5332 0.6667 0.3333
15 Pt 0.0332 0.3333 0.6667
16 Hf 0.2500 0.6153 0.0242
17 Hf 0.7500 0.0242 0.6153
18 Pt 0.2500 0.0000 0.0000

***

Entry 4:
Hf2Ga2Pt | PBEsol | relaxed

calculated formation energy	-804	meV per atom
uncorrected energy	-38.67	eV per formula unit
mass density	13.529	g/cm³
size of the total moment	0.000	μB per formula unit

Unit cell a=4.1079 b=6.4281 c=6.4281 alpha=90.00 beta=90.00 gamma=90.00
Fractional coordinates of all 10 atoms:
1 Ga 0.0000 0.3653 0.8653
2 Ga 0.0000 0.1347 0.3653
3 Pt 0.0000 0.5000 0.5000
4 Ga 0.0000 0.6347 0.1347
5 Hf 0.5000 0.1716 0.6716
6 Pt 0.0000 0.0000 0.0000
7 Ga 0.0000 0.8653 0.6347
8 Hf 0.5000 0.8284 0.3284
9 Hf 0.5000 0.6716 0.8284
10 Hf 0.5000 0.3284 0.1716

***

Entry 5:
Hf2GaRePt | PBEsol | relaxed

calculated formation energy	969	meV per atom
uncorrected energy	-39.79	eV per formula unit
mass density	13.457	g/cm³
size of the total moment	0.000	μB per formula unit

Unit cell a=4.3481 b=4.7886 c=4.7886 alpha=90.00 beta=90.00 gamma=90.00
Fractional coordinates of all 5 atoms:
1 Hf 0.0000 0.0000 0.5000
2 Pt 0.5000 0.0000 0.0000
3 Hf 0.0000 0.5000 0.0000
4 Ga 0.0000 0.0000 0.0000
5 Re 0.5000 0.5000 0.5000

***

Entry 6:
HfGa3Re | PBEsol | relaxed

calculated formation energy	1719	meV per atom
uncorrected energy	-25.26	eV per formula unit
mass density	7.943	g/cm³
size of the total moment	3.430	μB per formula unit

Unit cell a=4.9320 b=4.9320 c=4.9320 alpha=90.00 beta=90.00 gamma=90.00
Site moments in Bohr magnetons follow the coordinates.
Fractional coordinates of all 5 atoms:
1 Ga 0.0000 0.0000 0.5000  -0.04
2 Re 0.5000 0.5000 0.5000  3.20
3 Hf 0.0000 0.0000 0.0000  -0.18
4 Ga 0.5000 0.0000 0.0000  -0.04
5 Ga 0.0000 0.5000 0.0000  -0.04

***

Entry 7:
Hf2Ga2Re | PBEsol | relaxed

calculated formation energy	-496	meV per atom
uncorrected energy	-43.50	eV per formula unit
mass density	13.632	g/cm³
size of the total moment	0.000	μB per formula unit

Unit cell a=3.6437 b=6.7559 c=6.7559 alpha=90.00 beta=90.00 gamma=90.00
Fractional coordinates of all 10 atoms:
1 Hf 0.5000 0.6767 0.8233
2 Ga 0.0000 0.1274 0.3726
3 Re 0.0000 0.0000 0.0000
4 Re 0.0000 0.5000 0.5000
5 Ga 0.0000 0.6274 0.1274
6 Ga 0.0000 0.8726 0.6274
7 Hf 0.5000 0.3233 0.1767
8 Hf 0.5000 0.1767 0.6767
9 Ga 0.0000 0.3726 0.8726
10 Hf 0.5000 0.8233 0.3233

***

Entry 8:
Hf2GaReRh | PBEsol | relaxed

calculated formation energy	733	meV per atom
uncorrected energy	-42.15	eV per formula unit
mass density	11.586	g/cm³
size of the total moment	0.001	μB per formula unit

Unit cell a=4.4342 b=4.8101 c=4.8101 alpha=90.00 beta=90.00 gamma=90.00
Fractional coordinates of all 5 atoms:
1 Ga 0.5000 0.0000 0.0000
2 Hf 0.0000 0.5000 0.0000
3 Rh 0.0000 0.0000 0.0000
4 Re 0.5000 0.5000 0.5000
5 Hf 0.0000 0.0000 0.5000

***

Entry 9:
Hf2ScGaRh | PBEsol | relaxed

calculated formation energy	1317	meV per atom
uncorrected energy	-32.51	eV per formula unit
mass density	9.103	g/cm³
size of the total moment	0.000	μB per formula unit

Unit cell a=4.7176 b=4.7136 c=4.7136 alpha=90.00 beta=90.00 gamma=90.00
Fractional coordinates of all 5 atoms:
1 Hf 0.0000 0.5000 0.0000
2 Sc 0.0000 0.0000 0.0000
3 Ga 0.5000 0.0000 0.0000
4 Rh 0.5000 0.5000 0.5000
5 Hf 0.0000 0.0000 0.5000

***

Entry 10:
Hf2GaS | PBEsol | relaxed

uncorrected energy	-30.85	eV per formula unit
mass density	11.128	g/cm³
size of the total moment	0.000	μB per formula unit

Unit cell a=4.5918 b=4.5918 c=4.5918 alpha=60.00 beta=60.00 gamma=60.00
Fractional coordinates of all 4 atoms:
1 Hf 0.2500 0.2500 0.2500
2 S 0.0000 0.0000 0.0000
3 Ga 0.5000 0.5000 0.5000
4 Hf 0.7500 0.7500 0.7500

***

Entry 11:
HfSc2GaSb | PBEsol | relaxed

uncorrected energy	-29.21	eV per formula unit
mass density	6.143	g/cm³
size of the total moment	1.666	μB per formula unit

Unit cell a=4.9237 b=4.9237 c=5.1281 alpha=90.00 beta=90.00 gamma=90.00
Site moments in Bohr magnetons follow the coordinates.
Fractional coordinates of all 5 atoms:
1 Sc 0.5000 0.0000 0.0000  0.25
2 Sc 0.0000 0.5000 0.0000  0.25
3 Ga 0.0000 0.0000 0.0000  0.01
4 Hf 0.5000 0.5000 0.5000  0.52
5 Sb 0.0000 0.0000 0.5000  -0.02

***

Entry 12:
HfGaSb2W | PBEsol | relaxed

uncorrected energy	-30.17	eV per formula unit
mass density	7.778	g/cm³
size of the total moment	2.256	μB per formula unit

Unit cell a=5.0007 b=5.3705 c=5.3705 alpha=90.00 beta=90.00 gamma=90.00
Site moments in Bohr magnetons follow the coordinates.
Fractional coordinates of all 5 atoms:
1 Sb 0.0000 0.0000 0.5000  -0.03
2 Sb 0.0000 0.5000 0.0000  -0.03
3 Hf 0.0000 0.0000 0.0000  -0.02
4 W 0.5000 0.0000 0.0000  1.73
5 Ga 0.5000 0.5000 0.5000  0.03